[1]
LaPmErGa: optimized geometry, PBE-GGA.

## Properties
Final energy (eV per atom): -4.38
Volume (Å³/atom): 28.5
Density of states at the Fermi level (states/eV/cell): 5.857
Magnetic moment (μB/f.u.): 1.2
Energy of formation from the pure elements (eV/atom): -0.0653

Unit cell a=5.4438 b=5.4438 c=5.4438 alpha=60.00 beta=60.00 gamma=60.00
Positions (direct):
La  0.0000  0.0000  0.0000
Pm  0.7500  0.7500  0.7500
Er  0.5000  0.5000  0.5000
Ga  0.2500  0.2500  0.2500

=====

[2]
La2ErGa4Pt3: optimized geometry, PBE-GGA.

## Properties
Final energy (eV per atom): -5.38
Volume (Å³/atom): 21.4
Density of states at the Fermi level (states/eV/cell): 8.801
Magnetic moment (μB/f.u.): 0.0
Energy of formation from the pure elements (eV/atom): -0.9155

Unit cell a=4.2861 b=4.2861 c=11.6467 alpha=90.00 beta=90.00 gamma=90.00
Positions (direct):
La  0.0000  0.5000  0.2274
La  0.5000  0.0000  0.7726
Er  0.0000  0.0000  0.5000
Ga  0.0000  0.0000  0.0000
Ga  0.0000  0.5000  0.6625
Ga  0.5000  0.0000  0.3375
Ga  0.5000  0.5000  0.0000
Pt  0.0000  0.5000  0.8765
Pt  0.5000  0.0000  0.1235
Pt  0.5000  0.5000  0.5000